1.
Computed, not measured: crystalline Rb2CdCuF6 at its relaxed geometry at the PBE-GGA level of DFT.

a = 6.102 Å, b = 6.102 Å, c = 6.102 Å
α = 60.00°, β = 60.00°, γ = 60.00°
Sites, in units of the cell vectors:
Rb1 0.250 0.250 0.250
Rb2 0.750 0.750 0.750
Cd1 0.000 0.000 0.000
Cu1 0.500 0.500 0.500
F1 0.261 0.261 0.739
F2 0.261 0.739 0.261
F3 0.261 0.739 0.739
F4 0.739 0.261 0.261
F5 0.739 0.261 0.739
F6 0.739 0.739 0.261

Results
M_tot	1.0	μB/cell
formation energy (no corrections)	-217	kJ/mol of atoms
V	160.7	Å³/cell
raw total energy	-40.67	eV/cell
crystal system	cubic


2.
Computed, not measured: crystalline RbCdCu2F at its relaxed geometry at the PBE-GGA level of DFT.

a = 4.595 Å, b = 4.595 Å, c = 5.705 Å
α = 90.00°, β = 90.00°, γ = 90.00°
Sites, in units of the cell vectors:
Rb1 0.000 0.000 0.000
Cd1 0.500 0.500 0.000
Cu1 0.000 0.500 0.500
Cu2 0.500 0.000 0.500
F1 0.500 0.500 0.500

Results
M_tot	0.0	μB/cell
formation energy (no corrections)	14	kJ/mol of atoms
V	120.4	Å³/cell
raw total energy	-11.22	eV/cell
crystal system	tetragonal


The lowest V belongs to which entry?
RbCdCu2F